A plane-wave DFT calculation with PBE+U was carried out for a relaxed structure of Cs3NaV2F9.

Cell and atoms, written as extended XYZ:
```
15
Lattice="6.211 0.000 0.000 -3.106 5.379 0.000 0.000 0.000 7.628" Properties=species:S:1:pos:R:3 pbc="T T T"
F -1.553 2.689 0.000
F 1.553 2.689 0.000
F 3.106 3.444 5.276
V 3.106 1.793 6.445
Cs 0.000 3.586 4.979
F 4.535 0.968 5.276
F 0.000 1.935 2.353
F 3.106 0.000 0.000
Cs 3.106 1.793 2.649
F -1.430 4.411 2.353
Cs 0.000 0.000 0.000
V 0.000 3.586 1.184
F 1.430 4.411 2.353
F 1.676 0.968 5.276
Na 0.000 0.000 3.814
```

* energy: -5.172 eV/atom
* SG: P-3m1
* density of states at the Fermi level: 8.73 states/eV per cell
* spin magnetization: 5.00 Bohr magnetons per cell